Entry from Alexandria via LeMat-Bulk: Pm4Cd5Hg after structural relaxation (PBE).

Cell lengths 3.8352, 3.8352, 18.4072 Å; angles 90.00, 90.00, 90.00 degrees
Last column: magnetic moment on the atom in μB.
Fractional positions:
Pm 0.0000 0.0000 0.1900  0.08
Pm 0.0000 0.0000 0.3959  -0.08
Pm 0.0000 0.0000 0.6041  -0.08
Pm 0.0000 0.0000 0.8100  0.08
Cd 0.5000 0.5000 0.0872  0.00
Cd 0.5000 0.5000 0.2939  0.00
Cd 0.5000 0.5000 0.5000  -0.01
Cd 0.5000 0.5000 0.7061  0.00
Cd 0.5000 0.5000 0.9128  0.00
Hg 0.0000 0.0000 0.0000  0.00

Values from the calculation:
Total moment in μB/f.u.: 0.03
Mass density in kg/m³: 8235
Electronic total energy in eV/atom: -2.66